1.
The following is a DFT calculation (PBE) of crystalline K2Os at its relaxed geometry.

Lattice parameters (Å, degrees): 14.1238 14.1238 14.1238 90.00 90.00 90.00
Space group Fd-3m (No. 227, origin choice 2)
Symmetry-distinct sites (fractional):
K 0.0000 0.0000 0.0000 x16
Os 0.1250 0.1250 0.1250 x8

The value obtained for the polymorph energy (0 for the lowest one) is 84 meV/atom. Its total energy is -2.38 eV per atom.

***

2.
The following is a DFT calculation (PBE) of crystalline NaTbCoS3 at its relaxed geometry.

Lattice parameters (Å, degrees): 3.8646 12.7649 10.4715 90.00 90.00 90.00
Space group Cmcm (No. 63)
Symmetry-distinct sites (fractional):
Na 0.0000 0.2491 0.2500 x4
Tb 0.0000 0.0000 0.0000 x4
Co 0.0000 0.4712 0.7500 x4
S 0.0000 0.0745 0.7500 x4
S 0.0000 0.3648 0.5794 x8

The value obtained for the polymorph energy (0 for the lowest one) is 41 meV/atom. Its total energy is -5.45 eV per atom.

***

3.
The following is a DFT calculation (PBE) of crystalline PmBeTe at its relaxed geometry.

Lattice parameters (Å, degrees): 7.0937 7.0937 7.0937 90.00 90.00 90.00
Space group F-43m (No. 216)
Symmetry-distinct sites (fractional):
Pm 0.0000 0.0000 0.0000 x4
Be 0.2500 0.2500 0.7500 x4
Te 0.2500 0.2500 0.2500 x4

The value obtained for the polymorph energy (0 for the lowest one) is 0 meV/atom. Its total energy is -3.77 eV per atom.

***

4.
The following is a DFT calculation (PBE) of crystalline PrSm2 at its relaxed geometry.

Lattice parameters (Å, degrees): 12.9140 12.9140 12.9140 90.00 90.00 90.00
Space group Fd-3m (No. 227, origin choice 2)
Symmetry-distinct sites (fractional):
Pr 0.1250 0.1250 0.1250 x8
Sm 0.0000 0.0000 0.0000 x16

For the energy relative to the elements, the calculation gives 2.780 eV per atom. The value obtained for the polymorph energy (0 for the lowest one) is 2530 meV/atom. Its total energy is -1.95 eV per atom.

***

Please write out number 1 again, unchanged.
The following is a DFT calculation (PBE) of crystalline K2Os at its relaxed geometry.

Lattice parameters (Å, degrees): 14.1238 14.1238 14.1238 90.00 90.00 90.00
Space group Fd-3m (No. 227, origin choice 2)
Symmetry-distinct sites (fractional):
K 0.0000 0.0000 0.0000 x16
Os 0.1250 0.1250 0.1250 x8

The value obtained for the polymorph energy (0 for the lowest one) is 84 meV/atom. Its total energy is -2.38 eV per atom.

***

Q: Which of these has the highest polymorph energy (0 for the lowest one)?
A: PrSm2